The following is a DFT calculation (PBEsol) of a relaxed structure of Mg3ReSn.

Lattice parameters (Å, degrees): 5.156 5.156 5.156 90.00 90.00 90.00
Site moments in Bohr magnetons follow the coordinates.
Fractional coordinates of all 5 atoms:
Re  0.500  0.500  0.500  3.05
Mg  0.000  0.500  0.000  -0.02
Mg  0.000  0.000  0.500  -0.02
Mg  0.500  0.000  0.000  -0.02
Sn  0.000  0.000  0.000  0.06

## Properties
**N(E_F)**: 2.95 states/eV/f.u.
**Formation enthalpy at 0 K**: 1.457 eV/atom
**SG**: No. 221



The following is a DFT calculation (PBEsol) of a relaxed structure of FeSi2Mo.

Lattice parameters (Å, degrees): 3.489 3.489 4.787 111.38 111.38 90.00
Site moments in Bohr magnetons follow the coordinates.
Fractional coordinates of all 4 atoms:
Fe  0.500  0.500  0.000  1.54
Mo  0.250  0.750  0.500  -0.07
Si  0.000  0.000  0.000  -0.01
Si  0.750  0.250  0.500  -0.02

## Properties
**Energy relative to the elements, uncorrected**: -22.8 kJ/mol of atoms
**N(E_F)**: 2.86 states/eV/f.u.
**SG**: No. 119



The following is a DFT calculation (PBEsol) of a relaxed structure of Li4Mn3SnO8.

Lattice parameters (Å, degrees): 5.948 5.948 6.041 92.43 119.06 117.63
Site moments in Bohr magnetons follow the coordinates.
Fractional coordinates of all 16 atoms:
Li  0.500  0.500  0.000  0.00
Li  0.000  0.000  0.000  0.01
Li  0.000  0.000  0.500  0.00
Li  0.500  0.500  0.500  0.00
Mn  0.000  0.500  0.500  4.30
Mn  0.000  0.500  0.000  3.70
Mn  0.500  0.000  0.000  3.70
Sn  0.500  0.000  0.500  0.02
O  0.050  0.747  0.797  0.06
O  0.950  0.253  0.203  0.06
O  0.475  0.246  0.721  0.13
O  0.525  0.754  0.279  0.13
O  0.500  0.228  0.243  0.06
O  0.016  0.744  0.243  0.06
O  0.500  0.772  0.757  0.06
O  0.984  0.256  0.757  0.06

## Properties
**Energy relative to the elements, uncorrected**: -166.9 kJ/mol of atoms
**N(E_F)**: 2.66 states/eV/f.u.
**SG**: No. 12



The following is a DFT calculation (PBEsol) of a relaxed structure of LaSb2TeSe.

Lattice parameters (Å, degrees): 5.460 5.291 5.291 90.00 90.00 90.00
Fractional coordinates of all 5 atoms:
Sb  0.000  0.000  0.500
Sb  0.000  0.500  0.000
Te  0.500  0.000  0.000
Se  0.000  0.000  0.000
La  0.500  0.500  0.500

## Properties
**Energy relative to the elements, uncorrected**: -16.6 kJ/mol of atoms
**N(E_F)**: 2.86 states/eV/f.u.
**SG**: No. 123



The following is a DFT calculation (PBEsol) of a relaxed structure of AlNi3.

Lattice parameters (Å, degrees): 2.576 3.352 5.068 90.00 90.00 90.00
Fractional coordinates of all 4 atoms:
Ni  0.500  0.500  0.745
Ni  0.000  0.000  0.500
Ni  0.500  0.500  0.255
Al  0.000  0.000  0.000

## Properties
**N(E_F)**: 5.36 states/eV/f.u.
**Formation enthalpy at 0 K**: -0.351 eV/atom
**SG**: No. 47



The following is a DFT calculation (PBEsol) of a relaxed structure of NaSn.

Lattice parameters (Å, degrees): 10.267 11.282 10.267 62.93 90.00 117.07
Fractional coordinates of all 32 atoms:
Na  0.125  0.750  0.502
Na  0.002  0.250  0.625
Na  0.248  0.250  0.125
Na  0.625  0.750  0.748
Na  0.625  0.750  0.248
Na  0.748  0.250  0.125
Na  0.502  0.250  0.625
Na  0.125  0.750  0.002
Na  0.624  0.500  0.124
Na  0.374  0.000  0.126
Na  0.626  0.000  0.874
Na  0.876  0.500  0.376
Na  0.126  0.000  0.626
Na  0.376  0.500  0.624
Na  0.124  0.500  0.876
Na  0.874  0.000  0.374
Sn  0.934  0.124  0.007
Sn  0.881  0.624  0.816
Sn  0.743  0.624  0.560
Sn  0.316  0.376  0.381
Sn  0.060  0.376  0.243
Sn  0.507  0.876  0.434
Sn  0.369  0.876  0.690
Sn  0.190  0.124  0.869
Sn  0.816  0.376  0.743
Sn  0.869  0.876  0.934
Sn  0.007  0.876  0.190
Sn  0.434  0.124  0.369
Sn  0.690  0.124  0.507
Sn  0.243  0.624  0.316
Sn  0.381  0.624  0.060
Sn  0.560  0.376  0.881

## Properties
**Formation enthalpy at 0 K**: -0.223 eV/atom
**SG**: No. 142



The following is a DFT calculation (PBEsol) of a relaxed structure of KHf2SiTe.

Lattice parameters (Å, degrees): 5.235 5.235 5.699 90.00 90.00 90.00
Fractional coordinates of all 5 atoms:
K  0.000  0.000  0.500
Te  0.000  0.000  0.000
Hf  0.000  0.500  0.000
Hf  0.500  0.000  0.000
Si  0.500  0.500  0.500

## Properties
**Energy relative to the elements, uncorrected**: 108.0 kJ/mol of atoms
**N(E_F)**: 5.75 states/eV/f.u.
**SG**: No. 123



The following is a DFT calculation (PBEsol) of a relaxed structure of ScGaS2Cl.

Lattice parameters (Å, degrees): 4.874 4.874 5.000 90.00 90.00 90.00
Fractional coordinates of all 5 atoms:
Sc  0.000  0.000  0.000
S  0.000  0.500  0.000
S  0.500  0.000  0.000
Ga  0.500  0.500  0.500
Cl  0.000  0.000  0.500

## Properties
**Energy relative to the elements, uncorrected**: -86.1 kJ/mol of atoms
**N(E_F)**: 4.35 states/eV/f.u.
**SG**: No. 123



The following is a DFT calculation (PBEsol) of a relaxed structure of Hf5Ge3.

Lattice parameters (Å, degrees): 5.482 7.897 7.897 120.00 90.00 90.00
Fractional coordinates of all 16 atoms:
Hf  0.500  0.333  0.667
Hf  0.000  0.667  0.333
Hf  0.500  0.667  0.333
Hf  0.000  0.333  0.667
Hf  0.250  0.000  0.748
Hf  0.750  0.748  0.748
Hf  0.750  0.252  0.000
Hf  0.250  0.748  0.000
Hf  0.250  0.252  0.252
Hf  0.750  0.000  0.252
Ge  0.250  0.000  0.390
Ge  0.750  0.390  0.390
Ge  0.750  0.610  0.000
Ge  0.250  0.390  0.000
Ge  0.250  0.610  0.610
Ge  0.750  0.000  0.610

## Properties
**N(E_F)**: 3.01 states/eV/f.u.
**Formation enthalpy at 0 K**: -0.751 eV/atom
**SG**: No. 193



The following is a DFT calculation (PBEsol) of a relaxed structure of RbTaCu2Se4.

Lattice parameters (Å, degrees): 5.641 7.637 9.962 90.00 106.45 90.00
Fractional coordinates of all 16 atoms:
Rb  0.116  0.250  0.633
Rb  0.483  0.750  0.367
Ta  0.652  0.250  0.215
Ta  0.437  0.750  0.785
Cu  0.560  0.500  0.000
Cu  0.560  0.000  0.000
Cu  0.939  0.750  0.789
Cu  0.150  0.250  0.211
Se  0.501  0.250  0.418
Se  0.293  0.750  0.995
Se  0.689  0.008  0.789
Se  0.901  0.992  0.211
Se  0.689  0.492  0.789
Se  0.901  0.508  0.211
Se  0.298  0.250  0.005
Se  0.083  0.750  0.582

## Properties
**Energy relative to the elements, uncorrected**: -68.7 kJ/mol of atoms
**N(E_F)**: 0.00 states/eV/f.u.
**SG**: No. 40



The following is a DFT calculation (PBEsol) of a relaxed structure of Zr2AlNi4.

Lattice parameters (Å, degrees): 3.984 7.035 7.039 90.00 90.00 90.00
Fractional coordinates of all 14 atoms:
Al  0.000  0.000  0.552
Al  0.500  0.500  0.448
Ni  0.500  0.833  0.422
Ni  0.000  0.667  0.578
Ni  0.500  0.167  0.422
Ni  0.000  0.333  0.578
Ni  0.500  0.500  0.101
Ni  0.000  0.000  0.899
Ni  0.500  0.000  0.107
Ni  0.000  0.500  0.893
Zr  0.500  0.754  0.808
Zr  0.000  0.746  0.192
Zr  0.500  0.246  0.808
Zr  0.000  0.254  0.192

## Properties
**N(E_F)**: 5.94 states/eV/f.u.
**Formation enthalpy at 0 K**: -0.519 eV/atom
**SG**: No. 59



The following is a DFT calculation (PBEsol) of a relaxed structure of MgPb3.

Lattice parameters (Å, degrees): 5.517 6.050 6.692 90.00 90.00 90.00
Fractional coordinates of all 8 atoms:
Mg  0.000  0.675  0.000
Mg  0.500  0.325  0.500
Pb  0.500  0.350  0.000
Pb  0.000  0.169  0.751
Pb  0.500  0.831  0.749
Pb  0.000  0.650  0.500
Pb  0.000  0.169  0.249
Pb  0.500  0.831  0.251

## Properties
**N(E_F)**: 1.79 states/eV/f.u.
**Formation enthalpy at 0 K**: -0.006 eV/atom
**SG**: No. 59



| no. | calculated density (Mg/m³) | total moment (μB per formula unit) | VASP energy (eV per cell) |
| --- | --- | --- | --- |
| 1 | 4.58 | 3.33 | -15.46 |
| 2 | 6.91 | 1.47 | -33.17 |
| 3 | 4.70 | 13.03 | -111.09 |
| 4 | 6.40 | 0.00 | -22.70 |
| 5 | 7.70 | 0.00 | -23.97 |
| 6 | 4.14 | 0.00 | -97.70 |
| 7 | 5.87 | 0.00 | -25.82 |
| 8 | 3.00 | 0.00 | -25.18 |
| 9 | 12.45 | 0.00 | -146.68 |
| 10 | 5.72 | 0.00 | -86.69 |
| 11 | 7.48 | 0.00 | -101.07 |
| 12 | 9.60 | 0.00 | -27.47 |